No. 1
VASP calculation (SCAN) on a PBEsol-optimized structure of LaYTcOs2.

Results
E_form = 2.422 eV/atom
N(E_F) = 5.130 states/eV/f.u.
theoretical density = 10.1 Mg/m³

Cell: 4.730 4.730 5.180 Å, 90.00 90.00 90.00°
Space group P4/mmm (No. 123)
Inequivalent atoms, fractional coordinates:
La1 0.000 0.000 0.000 x1
Y1 0.000 0.000 0.500 x1
Tc1 0.500 0.500 0.000 x1
Os1 0.000 0.500 0.500 x2



No. 2
VASP calculation (SCAN) on a PBEsol-optimized structure of La2TeOs.

Results
energy relative to the elements, uncorrected = -9.0 kcal/mol of atoms
N(E_F) = 0.455 states/eV/f.u.
theoretical density = 10.1 Mg/m³

Cell: 4.341 4.341 10.424 Å, 90.00 90.00 90.00°
Space group I-4m2 (No. 119)
Inequivalent atoms, fractional coordinates:
La1 0.000 0.000 0.000 x2
La2 0.000 0.500 0.250 x2
Te1 0.000 0.500 0.750 x2
Os1 0.000 0.000 0.500 x2